Entry one
Below is an optimized crystal structure of NpGe2F8, with properties calculated at the PBE level.

Geometry as extended XYZ:
```
11
Lattice="6.8627 -2.8458 0.0000 6.8627 2.8458 0.0000 -1.0546 0.0000 4.8216" Properties=species:S:1:pos:R:3 pbc="T T T"
Np 0.0000 0.0000 0.0000
Ge 4.0591 0.0000 2.2857
Ge 8.6116 0.0000 2.5358
F 0.9051 0.0000 4.2071
F 5.1113 1.3904 3.2174
F 7.5594 1.3904 1.6041
F 5.1553 0.0000 0.8489
F 7.5154 0.0000 3.9726
F 5.1113 -1.3904 3.2174
F 7.5594 -1.3904 1.6041
F 11.7656 0.0000 0.6145
```

Output
Fermi-level density of states = 0.728 states/eV/atom
Space group = C2/m
M_tot = 0.27 μB per atom

***

Entry two
Below is an optimized crystal structure of NpGe2F8, with properties calculated at the PBE level.

Geometry as extended XYZ:
```
11
Lattice="5.0426 -2.6836 0.0000 5.0426 2.6836 0.0000 -1.8811 0.0000 6.9244" Properties=species:S:1:pos:R:3 pbc="T T T"
Np 0.0000 0.0000 0.0000
Ge 2.7049 0.0000 2.2533
Ge 5.4991 0.0000 4.6710
F 1.6001 1.4607 5.6931
F -0.8375 0.0000 5.1356
F 6.6039 1.4607 1.2313
F 4.0560 0.0000 0.9970
F 4.1481 0.0000 5.9274
F 1.6001 -1.4607 5.6931
F 9.0415 0.0000 1.7888
F 6.6039 -1.4607 1.2313
```

Output
Fermi-level density of states = 0.712 states/eV/atom
Space group = C2/m
M_tot = 0.27 μB per atom

***

Verdict on stability: entry two comes out at the bottom.

***

Entry one
Below is an optimized crystal structure of GeOF, with properties calculated at the PBE level.

Geometry as extended XYZ:
```
6
Lattice="2.9845 0.0000 0.0000 0.0000 2.9845 0.0000 0.0000 0.0000 10.0159" Properties=species:S:1:pos:R:3 pbc="T T T"
Ge 0.0000 0.0000 0.0000
Ge 1.4922 1.4922 5.0080
O 0.0000 0.0000 5.2548
O 1.4922 1.4922 0.2468
F 0.0000 0.0000 8.2478
F 1.4922 1.4922 3.2398
```

Output
Fermi-level density of states = 0.451 states/eV/atom
Space group = I4mm
M_tot = 0.00 μB per atom

***

Entry two
Below is an optimized crystal structure of GeOF, with properties calculated at the PBE level.

Geometry as extended XYZ:
```
3
Lattice="3.2481 0.0000 0.0000 -1.6241 2.8129 0.0000 0.0000 0.0000 4.7385" Properties=species:S:1:pos:R:3 pbc="T T T"
Ge 0.0000 0.0000 0.0000
O 0.0000 1.8753 4.0309
F 1.6241 0.9376 1.2441
```

Output
Fermi-level density of states = 0.791 states/eV/atom
Space group = P3m1
M_tot = 0.00 μB per atom

***

Verdict on stability: entry two comes out at the bottom.

***

Entry one
Below is an optimized crystal structure of GeO2F2, with properties calculated at the PBE level.

Geometry as extended XYZ:
```
5
Lattice="3.9122 0.0000 0.0000 0.0000 3.9122 0.0000 0.0000 0.0000 3.5407" Properties=species:S:1:pos:R:3 pbc="T T T"
Ge 0.0000 0.0000 0.0000
O 0.0000 0.0000 1.7704
O 1.9561 1.9561 1.7704
F 0.0000 1.9561 0.0000
F 1.9561 0.0000 0.0000
```

Output
Fermi-level density of states = 0.148 states/eV/atom
Space group = P4/mmm
M_tot = 0.41 μB per atom

***

Entry two
Below is an optimized crystal structure of GeO2F2, with properties calculated at the PBE level.

Geometry as extended XYZ:
```
5
Lattice="3.7093 0.0000 0.0000 0.0000 3.7093 0.0000 0.0000 0.0000 3.7825" Properties=species:S:1:pos:R:3 pbc="T T T"
Ge 0.0000 0.0000 0.0000
O 0.0000 1.8547 0.0000
O 1.8547 0.0000 0.0000
F 0.0000 0.0000 1.8913
F 1.8547 1.8547 1.8913
```

Output
Fermi-level density of states = 0.456 states/eV/atom
Space group = P4/mmm
M_tot = 0.40 μB per atom

***

Verdict on stability: entry two comes out at the bottom.

***

Entry one
Below is an optimized crystal structure of GeO2F2, with properties calculated at the PBE level.

Geometry as extended XYZ:
```
5
Lattice="3.8738 0.0000 0.0000 0.0000 3.8738 0.0000 0.0000 0.0000 3.6900" Properties=species:S:1:pos:R:3 pbc="T T T"
Ge 0.0000 0.0000 0.0000
O 1.9369 1.9369 0.0000
O 1.9369 1.9369 1.8450
F 0.0000 1.9369 1.8450
F 1.9369 0.0000 1.8450
```

Output
Fermi-level density of states = 0.323 states/eV/atom
Space group = P4/mmm
M_tot = 0.00 μB per atom

***

Entry two
Below is an optimized crystal structure of GeO2F2, with properties calculated at the PBE level.

Geometry as extended XYZ:
```
5
Lattice="3.5417 0.0000 0.0000 0.0000 3.5417 0.0000 0.0000 0.0000 4.6339" Properties=species:S:1:pos:R:3 pbc="T T T"
Ge 0.0000 0.0000 0.0000
O 0.0000 1.7708 2.3170
O 1.7708 0.0000 2.3170
F 1.7708 1.7708 0.0000
F 1.7708 1.7708 2.3170
```

Output
Fermi-level density of states = 0.504 states/eV/atom
Space group = P4/mmm
M_tot = 0.03 μB per atom

***

Verdict on stability: entry two comes out at the bottom.